No. 1
PrCu4P2 after structural relaxation, computed with PBEsol.

Computed properties:
DFT formation energy   -566 meV per atom
Total DFT energy (no corrections)   -5.438 eV/atom
Magnetic moment   0.000 μB/atom

a = 10.883 Å, b = 14.466 Å, c = 3.841 Å
α = 90.00°, β = 90.00°, γ = 90.00°
Space group Pnnm (No. 58)
One atom of each set of equivalent atoms:
Pr: 0.000 0.000 0.000 [2 per cell]
Pr: 0.122 0.273 0.000 [4 per cell]
Cu: 0.070 0.563 0.000 [4 per cell]
Cu: 0.075 0.831 0.500 [4 per cell]
Cu: 0.100 0.447 0.500 [4 per cell]
Cu: 0.173 0.714 0.000 [4 per cell]
Cu: 0.235 0.964 0.500 [4 per cell]
Cu: 0.243 0.587 0.500 [4 per cell]
P: 0.060 0.663 0.500 [4 per cell]
P: 0.135 0.114 0.500 [4 per cell]
P: 0.206 0.871 0.000 [4 per cell]

---

No. 2
CuPPt after structural relaxation, computed with PBEsol.

Computed properties:
DFT formation energy   -192 meV per atom
Total DFT energy (no corrections)   -5.888 eV/atom
Magnetic moment   0.000 μB/atom

a = 5.557 Å, b = 5.557 Å, c = 5.557 Å
α = 90.00°, β = 90.00°, γ = 90.00°
Space group F-43m (No. 216)
One atom of each set of equivalent atoms:
Cu: 0.000 0.000 0.000 [4 per cell]
P: 0.250 0.250 0.750 [4 per cell]
Pt: 0.000 0.000 0.500 [4 per cell]

---

No. 3
CuP6Pt after structural relaxation, computed with PBEsol.

Computed properties:
DFT formation energy   -118 meV per atom
Total DFT energy (no corrections)   -5.873 eV/atom
Magnetic moment   0.000 μB/atom

a = 5.178 Å, b = 5.529 Å, c = 5.698 Å
α = 63.96°, β = 67.15°, γ = 75.93°
Space group P-1 (No. 2)
One atom of each set of equivalent atoms:
Cu: 0.000 0.000 0.000 [1 per cell]
P: 0.027 0.440 0.831 [2 per cell]
P: 0.335 0.951 0.207 [2 per cell]
P: 0.384 0.356 0.216 [2 per cell]
Pt: 0.500 0.500 0.500 [1 per cell]

---

No. 4
CuP2Pt after structural relaxation, computed with PBEsol.

Computed properties:
DFT formation energy   -117 meV per atom
Relative energy among the computed polymorphs   0 meV per atom
Total DFT energy (no corrections)   -5.837 eV/atom
Magnetic moment   0.000 μB/atom

a = 3.897 Å, b = 3.891 Å, c = 3.957 Å
α = 90.00°, β = 90.01°, γ = 90.00°
Space group P2/m (No. 10)
One atom of each set of equivalent atoms:
Cu: 0.000 0.000 0.000 [1 per cell]
P: 0.313 0.500 0.798 [2 per cell]
Pt: 0.500 0.000 0.500 [1 per cell]

---

No. 5
CuPPt3 after structural relaxation, computed with PBEsol.

Computed properties:
DFT formation energy   344 meV per atom
Total DFT energy (no corrections)   -5.860 eV/atom
Magnetic moment   0.000 μB/atom

a = 4.409 Å, b = 4.409 Å, c = 4.409 Å
α = 90.00°, β = 90.00°, γ = 90.00°
Space group Pm-3m (No. 221)
One atom of each set of equivalent atoms:
Cu: 0.000 0.000 0.000 [1 per cell]
P: 0.500 0.500 0.500 [1 per cell]
Pt: 0.000 0.500 0.500 [3 per cell]

---

No. 6
CuP2Pt after structural relaxation, computed with PBEsol.

Computed properties:
DFT formation energy   105 meV per atom
Relative energy among the computed polymorphs   222 meV per atom
Total DFT energy (no corrections)   -5.615 eV/atom
Magnetic moment   0.000 μB/atom

a = 5.216 Å, b = 6.567 Å, c = 3.204 Å
α = 90.00°, β = 90.00°, γ = 90.00°
Space group Cmmm (No. 65)
One atom of each set of equivalent atoms:
Cu: 0.000 0.000 0.000 [2 per cell]
P: 0.250 0.250 0.500 [4 per cell]
Pt: 0.000 0.500 0.000 [2 per cell]

---

Look up the magnetic moment of the fifth one.
0.000 μB/atom